An optimized crystal structure of NpSiBi. Source: Alexandria via LeMat-Bulk, functional PBE.

Lattice parameters (Å, degrees): 5.008 14.015 3.731 90.00 90.00 90.00
Fractional coordinates of all 12 atoms:
Np 0.000 0.055 0.250
Np 0.000 0.945 0.750
Np 0.500 0.445 0.750
Np 0.500 0.555 0.250
Si 0.000 0.443 0.250
Si 0.000 0.557 0.750
Si 0.500 0.057 0.750
Si 0.500 0.943 0.250
Bi 0.000 0.257 0.750
Bi 0.000 0.743 0.250
Bi 0.500 0.243 0.250
Bi 0.500 0.757 0.750

Formation energy without anion corrections: 28 meV per atom
DOS at the Fermi energy: 16.15 states/eV per cell